This record from the Alexandria database describes a relaxed structure of LaGdY2. The functional is PBE.

Results
Formation enthalpy at 0 K ... 0.0248 eV/atom

The structure in CIF format:
```
data_LaGdY2
_chemical_formula_sum 'La1 Gd1 Y2'
_cell_length_a 5.143
_cell_length_b 5.143
_cell_length_c 5.087
_cell_angle_alpha 90.00
_cell_angle_beta 90.00
_cell_angle_gamma 90.00
_symmetry_space_group_name_H-M 'P 4/m m m'
_symmetry_Int_Tables_number 123
_symmetry_space_group_name_Hall '-P 4 2'
loop_
_atom_site_label
_atom_site_type_symbol
_atom_site_fract_x
_atom_site_fract_y
_atom_site_fract_z
La1 La 0.000 0.000 0.000
Gd1 Gd 0.500 0.500 0.000
Y1 Y 0.000 0.500 0.500
```